Computed, not measured: Ag12PtAu6 after structural relaxation at the PBE level of DFT.

Cell and atoms, written as POSCAR:
```
Ag12PtAu6
1.0
4.980 2.875 4.099
-4.980 2.875 4.099
0.000 -5.750 4.099
Ag Pt Au
12 1 6
direct
0.026 0.940 0.298
0.060 0.702 0.974
0.127 0.462 0.342
0.298 0.026 0.940
0.342 0.127 0.462
0.462 0.342 0.127
0.538 0.658 0.873
0.658 0.873 0.538
0.702 0.974 0.060
0.873 0.538 0.658
0.940 0.298 0.026
0.974 0.060 0.702
0.500 0.500 0.500
0.230 0.768 0.613
0.232 0.387 0.770
0.387 0.770 0.232
0.613 0.230 0.768
0.768 0.613 0.230
0.770 0.232 0.387
```

Output
crystal system = trigonal
energy of formation = 0.0151 eV/atom
uncorrected energy = -3.14 eV/atom